<a>
! PBE SmGaSb2, optimized geometry; values from VASP
! - Fermi-level density of states (states/eV per atom) = 0.716
! - M_tot (μB per cell) = 0.0
&SYSTEM
  ibrav = 0, nat = 4, ntyp = 3
/
ATOMIC_SPECIES
Ga 69.72 Ga.upf
Sb 121.76 Sb.upf
Sm 150.36 Sm.upf
CELL_PARAMETERS angstrom
-0.1989 -3.1635 2.9110
4.1118 0.7107 1.0532
-1.8830 4.2464 4.4860
ATOMIC_POSITIONS crystal
Ga 0.0000 0.0000 0.0000
Sb 0.0000 0.0000 0.5000
Sb 0.5000 0.5000 0.0000
Sm 0.5000 0.5000 0.5000

<b>
! PBE SmGaSb2, optimized geometry; values from VASP
! - Fermi-level density of states (states/eV per atom) = 0.881
! - M_tot (μB per cell) = 0.0
&SYSTEM
  ibrav = 0, nat = 4, ntyp = 3
/
ATOMIC_SPECIES
Sb 121.76 Sb.upf
Ga 69.72 Ga.upf
Sm 150.36 Sm.upf
CELL_PARAMETERS angstrom
4.1734 0.0000 0.0000
2.0867 3.6142 0.0000
2.0867 1.2047 7.5415
ATOMIC_POSITIONS crystal
Sb 0.7416 0.7416 0.7750
Sb 0.2584 0.2584 0.2250
Ga 0.0000 0.0000 0.0000
Sm 0.5000 0.5000 0.5000

What are the relative energies? In meV/atom: <a> 0; <b> 41.

<a>
! PBE GaSnSb, optimized geometry; values from VASP
! - Fermi-level density of states (states/eV per atom) = 0.320
! - M_tot (μB per cell) = 0.0
&SYSTEM
  ibrav = 0, nat = 6, ntyp = 3
/
ATOMIC_SPECIES
Sn 118.71 Sn.upf
Ga 69.72 Ga.upf
Sb 121.76 Sb.upf
CELL_PARAMETERS angstrom
4.6104 0.0000 0.0000
-2.3052 3.9928 0.0000
0.0000 0.0000 9.6619
ATOMIC_POSITIONS crystal
Sn 0.0000 0.0000 0.3482
Sn 0.0000 0.0000 0.6518
Ga 0.6667 0.3333 0.2900
Ga 0.3333 0.6667 0.7100
Sb 0.3333 0.6667 0.0760
Sb 0.6667 0.3333 0.9240

<b>
! PBE GaSnSb, optimized geometry; values from VASP
! - Fermi-level density of states (states/eV per atom) = 0.390
! - M_tot (μB per cell) = 0.0
&SYSTEM
  ibrav = 0, nat = 3, ntyp = 3
/
ATOMIC_SPECIES
Sb 121.76 Sb.upf
Ga 69.72 Ga.upf
Sn 118.71 Sn.upf
CELL_PARAMETERS angstrom
-1.6018 -1.2265 -2.3633
-1.4142 -4.1508 3.1127
-3.0909 4.3965 -0.1867
ATOMIC_POSITIONS crystal
Sb 0.0644 0.0000 0.0000
Ga 0.7982 0.6667 0.3333
Sn 0.1374 0.3333 0.6667

What are the relative energies? In meV/atom: <a> 60; <b> 0.

<a>
! PBE GaSnSbTe2, optimized geometry; values from VASP
! - Fermi-level density of states (states/eV per atom) = 0.873
! - M_tot (μB per cell) = 0.0
&SYSTEM
  ibrav = 0, nat = 5, ntyp = 4
/
ATOMIC_SPECIES
Te 127.60 Te.upf
Sn 118.71 Sn.upf
Sb 121.76 Sb.upf
Ga 69.72 Ga.upf
CELL_PARAMETERS angstrom
-0.4318 -5.1547 -1.5925
4.9330 -1.0242 1.9774
-2.1435 -1.2694 4.6899
ATOMIC_POSITIONS crystal
Te 0.0000 0.5000 0.0000
Te 0.5000 0.0000 0.0000
Sn 0.5000 0.5000 0.5000
Sb 0.0000 0.0000 0.5000
Ga 0.0000 0.0000 0.0000

<b>
! PBE GaSnSbTe2, optimized geometry; values from VASP
! - Fermi-level density of states (states/eV per atom) = 1.092
! - M_tot (μB per cell) = 0.3
&SYSTEM
  ibrav = 0, nat = 5, ntyp = 4
/
ATOMIC_SPECIES
Sb 121.76 Sb.upf
Ga 69.72 Ga.upf
Te 127.60 Te.upf
Sn 118.71 Sn.upf
CELL_PARAMETERS angstrom
5.7893 0.0000 0.0000
0.0000 5.7893 0.0000
0.0000 0.0000 5.6442
ATOMIC_POSITIONS crystal
Sb 0.0000 0.0000 0.5000
Ga 0.5000 0.5000 0.5000
Te 0.5000 0.0000 0.0000
Te 0.0000 0.5000 0.0000
Sn 0.0000 0.0000 0.0000

What are the relative energies? In meV/atom: <a> 0; <b> 157.

<a>
! PBE Sr3GaSb3, optimized geometry; values from VASP
! - Fermi-level density of states (states/eV per atom) = 0.033
! - M_tot (μB per cell) = 0.0
&SYSTEM
  ibrav = 0, nat = 28, ntyp = 3
/
ATOMIC_SPECIES
Sr 87.62 Sr.upf
Sb 121.76 Sb.upf
Ga 69.72 Ga.upf
CELL_PARAMETERS angstrom
6.9322 0.0000 0.0000
-3.4661 10.3438 0.0000
0.0000 0.0000 13.6075
ATOMIC_POSITIONS crystal
Sr 0.1225 0.6491 0.8726
Sr 0.1954 0.0000 0.6427
Sr 0.6954 0.0000 0.8573
Sr 0.3775 0.3509 0.3726
Sr 0.0266 0.6491 0.3726
Sr 0.3046 0.0000 0.1427
Sr 0.8046 0.0000 0.3573
Sr 0.4734 0.3509 0.8726
Sr 0.8775 0.3509 0.1274
Sr 0.6225 0.6491 0.6274
Sr 0.9734 0.3509 0.6274
Sr 0.5266 0.6491 0.1274
Sb 0.9453 0.3226 0.8754
Sb 0.2905 0.0000 0.3907
Sb 0.7095 0.0000 0.6093
Sb 0.2095 0.0000 0.8907
Sb 0.7905 0.0000 0.1093
Sb 0.6227 0.6774 0.8754
Sb 0.4453 0.3226 0.6246
Sb 0.0547 0.6774 0.1246
Sb 0.3773 0.3226 0.1246
Sb 0.8773 0.3226 0.3754
Sb 0.5547 0.6774 0.3754
Sb 0.1227 0.6774 0.6246
Ga 0.4122 0.8244 0.5000
Ga 0.9122 0.8244 0.0000
Ga 0.5878 0.1756 0.5000
Ga 0.0878 0.1756 0.0000

<b>
! PBE Sr3GaSb3, optimized geometry; values from VASP
! - M_tot (μB per cell) = 0.0
&SYSTEM
  ibrav = 0, nat = 56, ntyp = 3
/
ATOMIC_SPECIES
Sr 87.62 Sr.upf
Sb 121.76 Sb.upf
Ga 69.72 Ga.upf
CELL_PARAMETERS angstrom
14.6548 0.0000 0.0000
0.0000 11.8539 -0.0072
0.0000 7.8085 11.1562
ATOMIC_POSITIONS crystal
Sr 0.2501 0.8642 0.6581
Sr 0.0715 0.1392 0.3183
Sr 0.9326 0.9211 0.1649
Sr 0.2172 0.4032 0.4089
Sr 0.7499 0.1358 0.3419
Sr 0.2828 0.4032 0.9089
Sr 0.9053 0.3811 0.9617
Sr 0.5947 0.3811 0.4617
Sr 0.0674 0.0789 0.8351
Sr 0.5715 0.8608 0.1817
Sr 0.9285 0.8608 0.6817
Sr 0.4247 0.6487 0.0240
Sr 0.4285 0.1392 0.8183
Sr 0.4053 0.6189 0.5383
Sr 0.7828 0.5968 0.5911
Sr 0.5753 0.3513 0.9760
Sr 0.0753 0.6487 0.5240
Sr 0.4326 0.0789 0.3351
Sr 0.7172 0.5968 0.0911
Sr 0.7501 0.1358 0.8419
Sr 0.2499 0.8642 0.1581
Sr 0.5674 0.9211 0.6649
Sr 0.9247 0.3513 0.4760
Sr 0.0947 0.6189 0.0383
Sb 0.2415 0.8892 0.3999
Sb 0.0679 0.6495 0.2746
Sb 0.7619 0.6326 0.3210
Sb 0.4066 0.6100 0.2954
Sb 0.5899 0.8852 0.9265
Sb 0.0899 0.1148 0.5735
Sb 0.7381 0.6326 0.8210
Sb 0.2619 0.3674 0.1790
Sb 0.7415 0.1108 0.1001
Sb 0.9321 0.3505 0.7254
Sb 0.2585 0.8892 0.8999
Sb 0.2381 0.3674 0.6790
Sb 0.9101 0.8852 0.4265
Sb 0.0934 0.6100 0.7954
Sb 0.4321 0.6495 0.7746
Sb 0.5679 0.3505 0.2254
Sb 0.5988 0.8453 0.4494
Sb 0.9066 0.3900 0.2046
Sb 0.4101 0.1148 0.0735
Sb 0.4012 0.1547 0.5506
Sb 0.0988 0.1547 0.0506
Sb 0.5934 0.3900 0.7046
Sb 0.7585 0.1108 0.6001
Sb 0.9012 0.8453 0.9494
Ga 0.7547 0.8707 0.3218
Ga 0.2547 0.1293 0.1782
Ga 0.4090 0.3723 0.3109
Ga 0.7453 0.8707 0.8218
Ga 0.9090 0.6277 0.1891
Ga 0.5910 0.6277 0.6891
Ga 0.2453 0.1293 0.6782
Ga 0.0910 0.3723 0.8109

What are the relative energies? In meV/atom: <a> 5; <b> 0.

<a>
! PBE SrGaSb2Te, optimized geometry; values from VASP
! - Fermi-level density of states (states/eV per atom) = 1.194
! - M_tot (μB per cell) = 0.0
&SYSTEM
  ibrav = 0, nat = 5, ntyp = 4
/
ATOMIC_SPECIES
Sr 87.62 Sr.upf
Te 127.60 Te.upf
Ga 69.72 Ga.upf
Sb 121.76 Sb.upf
CELL_PARAMETERS angstrom
5.3451 0.0000 0.0000
0.0000 5.3451 0.0000
0.0000 0.0000 5.7037
ATOMIC_POSITIONS crystal
Sr 0.5000 0.5000 0.5000
Te 0.0000 0.0000 0.5000
Ga 0.0000 0.0000 0.0000
Sb 0.5000 0.0000 0.0000
Sb 0.0000 0.5000 0.0000

<b>
! PBE SrGaSb2Te, optimized geometry; values from VASP
! - Fermi-level density of states (states/eV per atom) = 1.119
! - M_tot (μB per cell) = 0.0
&SYSTEM
  ibrav = 0, nat = 5, ntyp = 4
/
ATOMIC_SPECIES
Ga 69.72 Ga.upf
Sr 87.62 Sr.upf
Te 127.60 Te.upf
Sb 121.76 Sb.upf
CELL_PARAMETERS angstrom
6.0733 0.0000 0.0000
0.0000 6.0733 0.0000
0.0000 0.0000 6.0970
ATOMIC_POSITIONS crystal
Ga 0.5000 0.5000 0.5000
Sr 0.0000 0.0000 0.0000
Te 0.0000 0.0000 0.5000
Sb 0.0000 0.5000 0.0000
Sb 0.5000 0.0000 0.0000

What are the relative energies? In meV/atom: <a> 0; <b> 674.

<a>
! PBE TaGaSb3, optimized geometry; values from VASP
! - Fermi-level density of states (states/eV per atom) = 1.425
! - M_tot (μB per cell) = 0.0
&SYSTEM
  ibrav = 0, nat = 5, ntyp = 3
/
ATOMIC_SPECIES
Sb 121.76 Sb.upf
Ga 69.72 Ga.upf
Ta 180.95 Ta.upf
CELL_PARAMETERS angstrom
5.1395 0.0000 0.0000
0.0000 5.1395 0.0000
0.0000 0.0000 5.1395
ATOMIC_POSITIONS crystal
Sb 0.0000 0.0000 0.5000
Sb 0.0000 0.5000 0.0000
Sb 0.5000 0.0000 0.0000
Ga 0.0000 0.0000 0.0000
Ta 0.5000 0.5000 0.5000

<b>
! PBE TaGaSb3, optimized geometry; values from VASP
! - Fermi-level density of states (states/eV per atom) = 0.718
! - M_tot (μB per cell) = 0.0
&SYSTEM
  ibrav = 0, nat = 5, ntyp = 3
/
ATOMIC_SPECIES
Ga 69.72 Ga.upf
Ta 180.95 Ta.upf
Sb 121.76 Sb.upf
CELL_PARAMETERS angstrom
5.3893 0.0000 0.0000
0.0000 5.3893 0.0000
0.0000 0.0000 5.3893
ATOMIC_POSITIONS crystal
Ga 0.5000 0.5000 0.5000
Ta 0.0000 0.0000 0.0000
Sb 0.0000 0.0000 0.5000
Sb 0.5000 0.0000 0.0000
Sb 0.0000 0.5000 0.0000

What are the relative energies? In meV/atom: <a> 848; <b> 0.

<a>
! PBE TaGa3Sb, optimized geometry; values from VASP
! - Fermi-level density of states (states/eV per atom) = 1.244
! - M_tot (μB per cell) = 2.5
&SYSTEM
  ibrav = 0, nat = 5, ntyp = 3
/
ATOMIC_SPECIES
Ta 180.95 Ta.upf
Ga 69.72 Ga.upf
Sb 121.76 Sb.upf
CELL_PARAMETERS angstrom
-3.4528 -3.8325 0.1967
3.6055 -3.1491 1.9319
-1.3142 1.4296 4.7831
ATOMIC_POSITIONS crystal
Ta 0.5000 0.5000 0.5000
Ga 0.0000 0.5000 0.0000
Ga 0.5000 0.0000 0.0000
Ga 0.0000 0.0000 0.5000
Sb 0.0000 0.0000 0.0000

<b>
! PBE TaGa3Sb, optimized geometry; values from VASP
! - Fermi-level density of states (states/eV per atom) = 0.588
! - M_tot (μB per cell) = 0.0
&SYSTEM
  ibrav = 0, nat = 5, ntyp = 3
/
ATOMIC_SPECIES
Ga 69.72 Ga.upf
Ta 180.95 Ta.upf
Sb 121.76 Sb.upf
CELL_PARAMETERS angstrom
5.0751 0.0000 0.0000
0.0000 5.0751 0.0000
0.0000 0.0000 5.0751
ATOMIC_POSITIONS crystal
Ga 0.5000 0.0000 0.0000
Ga 0.0000 0.5000 0.0000
Ga 0.0000 0.0000 0.5000
Ta 0.0000 0.0000 0.0000
Sb 0.5000 0.5000 0.5000

What are the relative energies? In meV/atom: <a> 783; <b> 0.

<a>
! PBE TaGaSb2Te, optimized geometry; values from VASP
! - Fermi-level density of states (states/eV per atom) = 1.228
! - M_tot (μB per cell) = 0.0
&SYSTEM
  ibrav = 0, nat = 5, ntyp = 4
/
ATOMIC_SPECIES
Sb 121.76 Sb.upf
Te 127.60 Te.upf
Ga 69.72 Ga.upf
Ta 180.95 Ta.upf
CELL_PARAMETERS angstrom
-0.9932 5.0168 0.4254
-2.6805 -0.8939 4.2839
4.3254 0.6159 2.8350
ATOMIC_POSITIONS crystal
Sb 0.5000 0.0000 0.0000
Sb 0.0000 0.5000 0.0000
Te 0.0000 0.0000 0.5000
Ga 0.0000 0.0000 0.0000
Ta 0.5000 0.5000 0.5000

<b>
! PBE TaGaSb2Te, optimized geometry; values from VASP
! - Fermi-level density of states (states/eV per atom) = 0.654
! - M_tot (μB per cell) = 0.0
&SYSTEM
  ibrav = 0, nat = 5, ntyp = 4
/
ATOMIC_SPECIES
Ta 180.95 Ta.upf
Te 127.60 Te.upf
Ga 69.72 Ga.upf
Sb 121.76 Sb.upf
CELL_PARAMETERS angstrom
-0.0419 -4.8747 2.3636
5.4172 -0.0647 -0.0374
0.0618 2.3610 4.8705
ATOMIC_POSITIONS crystal
Ta 0.0000 0.0000 0.0000
Te 0.0000 0.0000 0.5000
Ga 0.5000 0.5000 0.5000
Sb 0.5000 0.0000 0.0000
Sb 0.0000 0.5000 0.0000

What are the relative energies? In meV/atom: <a> 864; <b> 0.